# 1
Below is a relaxed structure of Sr2SbPd3Au12, with properties calculated at the PBE level.

The structure belongs to space group R-3m (No. 166, hexagonal axes); the cell edges are 7.1736, 7.1736 and 28.0198 Å and the angles 90.00°, 90.00° and 120.00°. The asymmetric unit holds Sr at (0.0000, 0.0000, 0.1487), Sb at (0.0000, 0.0000, 0.5000), Pd at (0.0000, 0.5000, 0.0000), Au at (0.0280, 0.5140, 0.0984) and Au at (0.0759, 0.5380, 0.6189).

The calculation puts the total energy at -0.1301 hartree per atom. The calculated volume comes out at 23.12 A^3/atom. As for the crystal system: trigonal. Its density is 11.9 g cm⁻³.

# 2
Below is a relaxed structure of CaSiIO2, with properties calculated at the PBE level.

The structure belongs to space group P4/mmm (No. 123); the cell edges are 4.002, 4.002 and 5.368 Å and the angles 90.00°, 90.00° and 90.00°. The asymmetric unit holds Ca at (0.000, 0.000, 0.000), Si at (0.500, 0.500, 0.500), I at (0.500, 0.500, 0.000) and O at (0.000, 0.500, 0.500).

Its relative energy among the computed polymorphs is 0.000 eV per atom. The calculated volume comes out at 17.19 A^3/atom. As for the crystal system: tetragonal. Its density is 4.4 g cm⁻³.

# 3
Below is a relaxed structure of PrY8Ho5, with properties calculated at the PBE level.

The structure belongs to space group I-4 (No. 82); the cell edges are 9.519, 9.519 and 10.253 Å and the angles 90.00°, 90.00° and 90.00°. The asymmetric unit holds Pr at (0.000, 0.000, 0.000), Y at (0.072, 0.178, 0.351), Y at (0.085, 0.327, 0.003), Ho at (0.000, 0.500, 0.250) and Ho at (0.111, 0.290, 0.677).

The calculated volume comes out at 33.18 A^3/atom. As for the crystal system: tetragonal. Its density is 6.0 g cm⁻³. The energy of formation comes out at 0.243 eV per atom.

Density of states at the Fermi level in states/eV/atom, matching the order above: 0.335 0.273 1.624